# 1
PdPb3 | PBE | optimized geometry

Cell: 4.712 4.712 4.712 Å, 90.00 90.00 90.00°
Fractional positions:
1 Pd 0.000 0.000 0.000
2 Pb 0.000 0.500 0.500
3 Pb 0.500 0.000 0.500
4 Pb 0.500 0.500 0.000

Spin magnetization in Bohr magnetons per cell: 0.0
Electronic total energy in eV/atom: -4.06
E_form in eV/atom: 0.0238

# 2
PdPb | PBE | optimized geometry

Cell: 3.466 5.056 5.289 Å, 100.44 108.99 90.27°
Fractional positions:
1 Pd 0.128 0.352 0.256
2 Pd 0.872 0.648 0.744
3 Pb 0.384 0.192 0.774
4 Pb 0.616 0.808 0.226

Spin magnetization in Bohr magnetons per cell: 0.0
Electronic total energy in eV/atom: -4.63
E_form in eV/atom: -0.1794

# 3
Pd3Pb2 | PBE | optimized geometry

Cell: 6.552 6.552 6.552 Å, 65.00 65.00 65.00°
Fractional positions:
1 Pd 0.012 0.250 0.488
2 Pd 0.250 0.488 0.012
3 Pd 0.488 0.012 0.250
4 Pd 0.512 0.988 0.750
5 Pd 0.750 0.512 0.988
6 Pd 0.988 0.750 0.512
7 Pb 0.103 0.103 0.103
8 Pb 0.397 0.397 0.397
9 Pb 0.603 0.603 0.603
10 Pb 0.897 0.897 0.897

Spin magnetization in Bohr magnetons per cell: 0.0
Electronic total energy in eV/atom: -4.63
E_form in eV/atom: -0.0266

# 4
PdPb | PBE | optimized geometry

Cell: 6.998 6.998 6.998 Å, 151.39 62.73 125.47°
Fractional positions:
1 Pd 0.000 0.000 0.000
2 Pd 0.592 0.213 0.379
3 Pd 0.835 0.213 0.621
4 Pb 0.325 0.632 0.693
5 Pb 0.446 0.446 0.000
6 Pb 0.938 0.632 0.307

Spin magnetization in Bohr magnetons per cell: 0.0
Electronic total energy in eV/atom: -4.62
E_form in eV/atom: -0.1733

# 5
PdPb3 | PBE | optimized geometry

Cell: 6.347 6.347 9.020 Å, 90.00 90.00 144.01°
Fractional positions:
1 Pd 0.249 0.751 0.750
2 Pd 0.751 0.249 0.250
3 Pb 0.141 0.859 0.055
4 Pb 0.141 0.859 0.445
5 Pb 0.428 0.572 0.250
6 Pb 0.572 0.428 0.750
7 Pb 0.859 0.141 0.555
8 Pb 0.859 0.141 0.945

Spin magnetization in Bohr magnetons per cell: 0.0
Electronic total energy in eV/atom: -4.22
E_form in eV/atom: -0.1412

# 6
Pd2Pb5 | PBE | optimized geometry

Cell: 8.460 8.460 7.295 Å, 98.99 98.99 45.44°
Fractional positions:
1 Pd 0.105 0.674 0.920
2 Pd 0.326 0.895 0.580
3 Pd 0.674 0.105 0.420
4 Pd 0.895 0.326 0.080
5 Pb 0.086 0.914 0.250
6 Pb 0.118 0.319 0.796
7 Pb 0.289 0.531 0.563
8 Pb 0.319 0.118 0.296
9 Pb 0.469 0.711 0.937
10 Pb 0.531 0.289 0.063
11 Pb 0.681 0.882 0.704
12 Pb 0.711 0.469 0.437
13 Pb 0.882 0.681 0.204
14 Pb 0.914 0.086 0.750

Spin magnetization in Bohr magnetons per cell: 0.0
Electronic total energy in eV/atom: -4.28
E_form in eV/atom: -0.1482